## Hg2BHPd6 (PBE)

Data for an optimized crystal structure of Hg2BHPd6.

Cell and atoms, written as CIF:
```
data_Hg2BHPd6
_symmetry_space_group_name_H-M 'P 1'
_symmetry_Int_Tables_number 1
_cell_length_a 5.8847
_cell_length_b 5.8847
_cell_length_c 5.8830
_cell_angle_alpha 119.96
_cell_angle_beta 119.96
_cell_angle_gamma 89.87
loop_
_symmetry_equiv_pos_as_xyz
'x,y,z'
loop_
_atom_site_label
_atom_site_type_symbol
_atom_site_fract_x
_atom_site_fract_y
_atom_site_fract_z
Pd1 Pd 0.2532 0.2537 0.0013
Pd2 Pd 0.7480 0.7485 0.4963
Pd3 Pd 0.7466 0.7471 0.9982
Pd4 Pd 0.2525 0.7477 0.9998
Pd5 Pd 0.7472 0.2530 0.9998
Pd6 Pd 0.2517 0.2522 0.5032
H1 H 0.5000 0.5005 0.0000
Hg1 Hg 0.2494 0.7509 0.4998
Hg2 Hg 0.7504 0.2499 0.4998
B1 B 0.9999 0.0004 0.9998
```

calculated density: 12.09 g/cm³
N(E_F): 1.5 states/eV per cell
E: -4.453 eV/atom